No. 1
This record from the Alexandria database describes crystalline Pm4TlTe2As at its relaxed geometry. The functional is PBE.

Cell: 7.714 4.343 7.724 Å, 90.00 108.63 90.00°
Atoms (fractional coordinates):
Pm  0.234  0.000  0.227
Pm  0.244  0.500  0.759
Pm  0.756  0.500  0.241
Pm  0.766  0.000  0.773
Tl  0.500  0.000  0.000
Te  0.000  0.000  0.500
Te  0.500  0.500  0.500
As  0.000  0.500  0.000

Properties
- Space-group type: P2/m, No. 10
- E_form (uncorrected): -1.19 eV per atom

No. 2
This record from the Alexandria database describes crystalline TlIn2Co at its relaxed geometry. The functional is PBE.

Cell: 7.277 7.277 7.277 Å, 156.09 144.79 43.01°
Atoms (fractional coordinates):
Tl  0.000  0.000  0.000
In  0.320  0.820  0.500
In  0.647  0.647  0.000
Co  0.813  0.313  0.500

Properties
- Space-group type: Imm2, No. 44
- ΔE_f: 0.16 eV/atom
- Energy above the lowest structure with this stoichiometry: 8 meV/atom

No. 3
This record from the Alexandria database describes crystalline As2SeBr at its relaxed geometry. The functional is PBE.

Cell: 2.910 2.910 12.045 Å, 90.00 90.00 105.64°
Atoms (fractional coordinates):
As  0.000  0.000  0.000
As  0.500  0.500  0.171
Se  0.500  0.500  0.787
Br  0.000  0.000  0.441

Properties
- Space-group type: Cmm2, No. 35
- E_form (uncorrected): 0.38 eV per atom
- Energy above the lowest structure with this stoichiometry: 419 meV/atom

No. 4
This record from the Alexandria database describes crystalline ScPbAu4 at its relaxed geometry. The functional is PBE.

Cell: 5.618 5.618 5.618 Å, 60.00 60.00 60.00°
Atoms (fractional coordinates):
Sc  0.000  0.000  0.000
Pb  0.250  0.250  0.250
Au  0.124  0.625  0.625
Au  0.625  0.124  0.625
Au  0.625  0.625  0.124
Au  0.625  0.625  0.625

Properties
- Space-group type: F-43m, No. 216
- ΔE_f: -0.24 eV/atom

No. 5
This record from the Alexandria database describes crystalline ScCo2Ru at its relaxed geometry. The functional is PBE.

Cell: 4.459 4.459 2.767 Å, 90.00 90.00 105.31°
Atoms (fractional coordinates):
Sc  0.000  0.000  0.000
Co  0.000  0.500  0.500
Co  0.500  0.000  0.500
Ru  0.500  0.500  0.000

Properties
- Space-group type: Cmmm, No. 65
- ΔE_f: -0.03 eV/atom
- Energy above the lowest structure with this stoichiometry: 59 meV/atom

No. 6
This record from the Alexandria database describes crystalline Hf2Tl2Re at its relaxed geometry. The functional is PBE.

Cell: 8.519 8.519 8.519 Å, 154.22 154.22 36.77°
Atoms (fractional coordinates):
Hf  0.088  0.088  0.000
Hf  0.912  0.912  0.000
Tl  0.250  0.750  0.500
Tl  0.750  0.250  0.500
Re  0.500  0.500  0.000

Properties
- Space-group type: I4/mmm, No. 139
- ΔE_f: 0.78 eV/atom
- Energy above the lowest structure with this stoichiometry: 239 meV/atom

No. 7
This record from the Alexandria database describes crystalline Ba3Tl7In2 at its relaxed geometry. The functional is PBE.

Cell: 6.566 4.820 13.948 Å, 90.00 101.77 90.00°
Atoms (fractional coordinates):
Ba  0.000  0.000  0.000
Ba  0.312  0.000  0.628
Ba  0.688  0.000  0.372
Tl  0.145  0.000  0.274
Tl  0.160  0.500  0.804
Tl  0.222  0.500  0.431
Tl  0.500  0.500  0.000
Tl  0.778  0.500  0.569
Tl  0.840  0.500  0.196
Tl  0.855  0.000  0.726
In  0.354  0.500  0.196
In  0.646  0.500  0.804

Properties
- Space-group type: P2/m, No. 10
- ΔE_f: -0.23 eV/atom
- Energy above the lowest structure with this stoichiometry: 51 meV/atom

No. 8
This record from the Alexandria database describes crystalline Li3ThSe3 at its relaxed geometry. The functional is PBE.

Cell: 8.229 8.229 8.229 Å, 52.54 52.54 52.54°
Atoms (fractional coordinates):
Li  0.129  0.432  0.808
Li  0.192  0.871  0.568
Li  0.432  0.808  0.129
Li  0.568  0.192  0.871
Li  0.808  0.129  0.432
Li  0.871  0.568  0.192
Th  0.334  0.334  0.334
Th  0.666  0.666  0.666
Se  0.082  0.738  0.437
Se  0.262  0.563  0.918
Se  0.437  0.082  0.738
Se  0.563  0.918  0.262
Se  0.738  0.437  0.082
Se  0.918  0.262  0.563

Properties
- Space-group type: R-3, No. 148
- E_form (uncorrected): -1.32 eV per atom

Number 1: E_tot -5.230 eV per atom, density of states at the Fermi level 2.62 states/eV per cell. Number 2: E_tot -3.577 eV per atom, density of states at the Fermi level 2.50 states/eV per cell. Number 3: E_tot -3.238 eV per atom, density of states at the Fermi level 1.64 states/eV per cell. Number 4: E_tot -4.094 eV per atom, density of states at the Fermi level 3.20 states/eV per cell. Number 5: E_tot -7.486 eV per atom, density of states at the Fermi level 5.07 states/eV per cell. Number 6: E_tot -6.640 eV per atom, density of states at the Fermi level 4.19 states/eV per cell. Number 7: E_tot -2.545 eV per atom, density of states at the Fermi level 6.60 states/eV per cell. Number 8: E_tot -4.698 eV per atom, density of states at the Fermi level 6.50 states/eV per cell.